Below is crystalline Ag9Sb at its relaxed geometry, with properties calculated at the PBE-GGA level.

Cell: 2.9552 4.0417 40.9498 Å, 90.00 90.00 90.00°
With the nearest neighbours (Å) after each atom.
Element x y z (fractional)
Ag (0.2500, 0.2500, 0.0178)  12 Ag 2.90-2.96
Ag (0.2500, 0.2500, 0.0890)  12 Ag 2.90-2.96
Ag (0.2500, 0.2500, 0.1605)  12 Ag 2.90-2.96
Ag (0.2500, 0.2500, 0.2324)  12 Ag 2.90-3.01
Ag (0.2500, 0.2500, 0.3058)  7 Ag 2.93-3.01, 4 Sb 2.97
Ag (0.2500, 0.2500, 0.7313)  11 Ag 2.91-2.96, 1 Sb 3.11
Ag (0.2500, 0.2500, 0.8035)  12 Ag 2.90-2.96
Ag (0.2500, 0.2500, 0.8753)  12 Ag 2.90-2.96
Ag (0.2500, 0.2500, 0.9466)  12 Ag 2.90-2.96
Ag (0.7500, 0.7500, 0.0534)  12 Ag 2.90-2.96
Ag (0.7500, 0.7500, 0.1247)  12 Ag 2.90-2.96
Ag (0.7500, 0.7500, 0.1965)  12 Ag 2.90-2.96
Ag (0.7500, 0.7500, 0.2687)  11 Ag 2.91-2.96, 1 Sb 3.11
Ag (0.7500, 0.7500, 0.6942)  7 Ag 2.93-3.01, 4 Sb 2.97
Ag (0.7500, 0.7500, 0.7676)  12 Ag 2.90-3.01
Ag (0.7500, 0.7500, 0.8395)  12 Ag 2.90-2.96
Ag (0.7500, 0.7500, 0.9110)  12 Ag 2.90-2.96
Ag (0.7500, 0.7500, 0.9822)  12 Ag 2.90-2.96
Sb (0.2500, 0.2500, 0.6553)  2 Sb 2.96, 5 Ag 2.97-3.11
Sb (0.7500, 0.7500, 0.3447)  2 Sb 2.96, 5 Ag 2.97-3.11

Output
E above lowest polymorph: 6 kJ/mol of formula units
Density: 7.42 g/cm3
Crystal system: orthorhombic
Symmetry: Pmmn (59)

***

Below is crystalline Ag17Sb at its relaxed geometry, with properties calculated at the PBE-GGA level.

Cell: 5.7998 5.7998 32.5010 Å, 90.00 90.00 120.00°
With the nearest neighbours (Å) after each atom.
Element x y z (fractional)
Ag (0.0000, 0.0000, 0.0000)  12 Ag 2.90-2.94
Ag (0.0000, 0.0000, 0.2227)  12 Ag 2.90-3.00
Ag (0.0000, 0.0000, 0.7773)  12 Ag 2.90-3.00
Ag (0.0000, 0.5000, 0.0000)  12 Ag 2.90-2.94
Ag (0.0022, 0.5011, 0.2234)  11 Ag 2.88-2.98, 1 Sb 3.18
Ag (0.1667, 0.3334, 0.1485)  12 Ag 2.90-2.95
Ag (0.1668, 0.3335, 0.7009)  7 Ag 2.90-3.00, 2 Sb 2.91
Ag (0.1668, 0.3337, 0.9256)  12 Ag 2.90-2.96
Ag (0.1667, 0.8333, 0.1485)  12 Ag 2.90-2.95
Ag (0.1668, 0.8332, 0.7009)  7 Ag 2.90-3.00, 2 Sb 2.91
Ag (0.1668, 0.8332, 0.9256)  12 Ag 2.90-2.96
Ag (0.3334, 0.1667, 0.8515)  12 Ag 2.90-2.95
Ag (0.3333, 0.6667, 0.0744)  12 Ag 2.90-2.94
Ag (0.3333, 0.6667, 0.8506)  12 Ag 2.90-2.96
Ag (0.3337, 0.1668, 0.0744)  12 Ag 2.90-2.96
Ag (0.3335, 0.1668, 0.2991)  7 Ag 2.90-3.00, 2 Sb 2.91
Ag (0.4989, 0.5011, 0.2234)  11 Ag 2.88-2.98, 1 Sb 3.18
Ag (0.4989, 0.9978, 0.2234)  11 Ag 2.88-2.98, 1 Sb 3.18
Ag (0.5000, 0.0000, 0.0000)  12 Ag 2.90-2.94
Ag (0.5000, 0.5000, 0.0000)  12 Ag 2.90-2.94
Ag (0.5011, 0.0022, 0.7766)  11 Ag 2.88-2.98, 1 Sb 3.18
Ag (0.5011, 0.4989, 0.7766)  11 Ag 2.88-2.98, 1 Sb 3.18
Ag (0.6665, 0.8332, 0.7009)  7 Ag 2.90-3.00, 2 Sb 2.91
Ag (0.6663, 0.8332, 0.9256)  12 Ag 2.90-2.96
Ag (0.6667, 0.3333, 0.1494)  12 Ag 2.90-2.96
Ag (0.6667, 0.3333, 0.9256)  12 Ag 2.90-2.94
Ag (0.6666, 0.8333, 0.1485)  12 Ag 2.90-2.95
Ag (0.8332, 0.1668, 0.0744)  12 Ag 2.90-2.96
Ag (0.8332, 0.1668, 0.2991)  7 Ag 2.90-3.00, 2 Sb 2.91
Ag (0.8333, 0.1667, 0.8515)  12 Ag 2.90-2.95
Ag (0.8332, 0.6663, 0.0744)  12 Ag 2.90-2.96
Ag (0.8332, 0.6665, 0.2991)  7 Ag 2.90-3.00, 2 Sb 2.91
Ag (0.8333, 0.6666, 0.8515)  12 Ag 2.90-2.95
Ag (0.9978, 0.4989, 0.7766)  11 Ag 2.88-2.98, 1 Sb 3.18
Sb (0.3333, 0.6667, 0.3068)  9 Ag 2.91-3.18
Sb (0.6667, 0.3333, 0.6932)  9 Ag 2.91-3.18

Output
E above lowest polymorph: 5 kJ/mol of formula units
Density: 6.86 g/cm3
Crystal system: trigonal
Symmetry: P-3m1 (164)

***

Below is crystalline Ag3Sb11 at its relaxed geometry, with properties calculated at the PBE-GGA level.

Cell: 8.7397 8.7397 7.3753 Å, 112.27 112.27 59.83°
With the nearest neighbours (Å) after each atom.
Element x y z (fractional)
Ag (0.0000, 0.0000, 0.0000)  4 Sb 2.77-2.81
Ag (0.3326, 0.3326, 0.9261)  6 Sb 2.85-3.05
Ag (0.6519, 0.6519, 0.0789)  5 Sb 2.76-2.97
Sb (0.1880, 0.7508, 0.5124)  3 Sb 2.90-2.94
Sb (0.2001, 0.2001, 0.1069)  2 Ag 2.78-2.85, 2 Sb 2.86
Sb (0.2974, 0.6702, 0.9037)  3 Ag 2.81-2.87, 1 Sb 2.92
Sb (0.4477, 0.9672, 0.6842)  1 Ag 2.86, 2 Sb 2.87
Sb (0.5049, 0.5049, 0.3440)  2 Sb 2.90, 1 Ag 3.05
Sb (0.5256, 0.9827, 0.3489)  1 Ag 2.76, 3 Sb 2.86-2.94
Sb (0.6702, 0.2974, 0.9037)  3 Ag 2.81-2.87, 1 Sb 2.92
Sb (0.7508, 0.1880, 0.5124)  3 Sb 2.90-2.94
Sb (0.8049, 0.8049, 0.9287)  2 Ag 2.77-2.97, 2 Sb 2.87
Sb (0.9672, 0.4477, 0.6842)  1 Ag 2.86, 2 Sb 2.87
Sb (0.9827, 0.5256, 0.3489)  1 Ag 2.76, 3 Sb 2.86-2.94

Output
Density: 6.30 g/cm3
Crystal system: monoclinic
Uncorrected energy: -51.8 eV per cell
Symmetry: Cm (8)

***

Below is crystalline ScAgSb at its relaxed geometry, with properties calculated at the PBE-GGA level.

Cell: 4.7264 4.7264 4.7264 Å, 60.00 60.00 60.00°
With the nearest neighbours (Å) after each atom.
Element x y z (fractional)
Sc (0.0000, 0.0000, 0.0000)  4 Sb 2.89, 4 Ag 2.89
Ag (0.7500, 0.7500, 0.7500)  4 Sc 2.89
Sb (0.2500, 0.2500, 0.2500)  4 Sc 2.89

Output
Density: 6.11 g/cm3
Crystal system: cubic
Uncorrected energy: -14.3 eV per cell
Symmetry: F-43m (216)
Total magnetic moment: 0.0011 μB/atom

***

Below is crystalline AgSbSe2 at its relaxed geometry, with properties calculated at the PBE-GGA level.

Cell: 6.9068 6.9068 6.9068 Å, 34.74 34.74 34.74°
With the nearest neighbours (Å) after each atom.
Element x y z (fractional)
Ag (0.0000, 0.0000, 0.0000)  6 Se 2.86
Sb (0.5000, 0.5000, 0.5000)  6 Se 2.90
Se (0.2522, 0.2522, 0.2522)  3 Ag 2.86, 3 Sb 2.90
Se (0.7478, 0.7478, 0.7478)  3 Ag 2.86, 3 Sb 2.90

Output
Density: 6.74 g/cm3
Crystal system: trigonal
Uncorrected energy: -14.7 eV per cell
Symmetry: R-3m (166)

***

Below is crystalline AgSbSe2 at its relaxed geometry, with properties calculated at the PBE-GGA level.

Cell: 6.6147 4.1151 16.0508 Å, 90.00 90.00 90.00°
With the nearest neighbours (Å) after each atom.
Element x y z (fractional)
Ag (0.2401, 0.2500, 0.1796)  4 Se 2.63-2.70
Ag (0.2599, 0.7500, 0.6796)  4 Se 2.63-2.70
Ag (0.7401, 0.2500, 0.3204)  4 Se 2.63-2.70
Ag (0.7599, 0.7500, 0.8204)  4 Se 2.63-2.70
Sb (0.2432, 0.2500, 0.9481)  3 Se 2.62-2.76
Sb (0.2568, 0.7500, 0.4481)  3 Se 2.62-2.76
Sb (0.7432, 0.2500, 0.5519)  3 Se 2.62-2.76
Sb (0.7568, 0.7500, 0.0519)  3 Se 2.62-2.76
Se (0.1322, 0.2500, 0.5838)  1 Sb 2.62, 2 Ag 2.70
Se (0.1595, 0.7500, 0.8383)  2 Ag 2.63-2.66, 2 Sb 2.76
Se (0.3405, 0.2500, 0.3383)  2 Ag 2.63-2.66, 2 Sb 2.76
Se (0.3678, 0.7500, 0.0838)  1 Sb 2.62, 2 Ag 2.70
Se (0.6322, 0.2500, 0.9162)  1 Sb 2.62, 2 Ag 2.70
Se (0.6595, 0.7500, 0.6617)  2 Ag 2.63-2.66, 2 Sb 2.76
Se (0.8405, 0.2500, 0.1617)  2 Ag 2.63-2.66, 2 Sb 2.76
Se (0.8678, 0.7500, 0.4162)  1 Sb 2.62, 2 Ag 2.70

Output
Density: 5.89 g/cm3
Crystal system: orthorhombic
Uncorrected energy: -58.7 eV per cell
Symmetry: Pnma (62)

***

Below is crystalline AgSn2Sb at its relaxed geometry, with properties calculated at the PBE-GGA level.

Cell: 5.1998 5.1998 5.1998 Å, 60.00 60.00 60.00°
With the nearest neighbours (Å) after each atom.
Element x y z (fractional)
Ag (0.0000, 0.0000, 0.0000)  4 Sb 3.18, 4 Sn 3.18
Sn (0.2500, 0.2500, 0.2500)  4 Sn 3.18, 4 Ag 3.18
Sn (0.5000, 0.5000, 0.5000)  4 Sn 3.18, 4 Sb 3.18
Sb (0.7500, 0.7500, 0.7500)  4 Sn 3.18, 4 Ag 3.18

Output
Density: 7.80 g/cm3
Crystal system: cubic
Uncorrected energy: -14.3 eV per cell
Symmetry: F-43m (216)

***

Below is crystalline AgSnSb2 at its relaxed geometry, with properties calculated at the PBE-GGA level.

Cell: 5.2225 5.2225 5.2225 Å, 60.00 60.00 60.00°
With the nearest neighbours (Å) after each atom.
Element x y z (fractional)
Ag (0.0000, 0.0000, 0.0000)  4 Sn 3.20, 4 Sb 3.20
Sn (0.7500, 0.7500, 0.7500)  4 Sb 3.20, 4 Ag 3.20
Sb (0.2500, 0.2500, 0.2500)  4 Sb 3.20, 4 Ag 3.20
Sb (0.5000, 0.5000, 0.5000)  4 Sn 3.20, 4 Sb 3.20

Output
Density: 7.75 g/cm3
Crystal system: cubic
Uncorrected energy: -14.2 eV per cell
Symmetry: F-43m (216)

***

Below is crystalline SrAg4Sb2 at its relaxed geometry, with properties calculated at the PBE-GGA level.

Cell: 8.7939 8.7939 8.7939 Å, 31.44 31.44 31.44°
With the nearest neighbours (Å) after each atom.
Element x y z (fractional)
Sr (0.0000, 0.0000, 0.0000)  6 Sb 3.37, 8 Ag 3.56-3.74
Ag (0.1420, 0.1420, 0.1420)  4 Sb 2.85-3.19, 6 Ag 2.94-3.02
Ag (0.4346, 0.4346, 0.4346)  3 Sb 2.82, 3 Ag 2.94
Ag (0.5654, 0.5654, 0.5654)  3 Sb 2.82, 3 Ag 2.94
Ag (0.8580, 0.8580, 0.8580)  4 Sb 2.85-3.19, 6 Ag 2.94-3.02
Sb (0.2559, 0.2559, 0.2559)  4 Ag 2.82-2.85
Sb (0.7441, 0.7441, 0.7441)  4 Ag 2.82-2.85

Output
Density: 7.71 g/cm3
Crystal system: trigonal
Uncorrected energy: -23.4 eV per cell
Symmetry: R-3m (166)

***

Below is crystalline Sr2AgSb at its relaxed geometry, with properties calculated at the PBE-GGA level.

Cell: 5.5807 5.5807 5.5807 Å, 60.00 60.00 60.00°
With the nearest neighbours (Å) after each atom.
Element x y z (fractional)
Sr (0.0000, 0.0000, 0.0000)  4 Ag 3.42, 4 Sr 3.42
Sr (0.2500, 0.2500, 0.2500)  4 Sb 3.42, 4 Sr 3.42
Ag (0.7500, 0.7500, 0.7500)  4 Sb 3.42, 4 Sr 3.42
Sb (0.5000, 0.5000, 0.5000)  4 Ag 3.42, 4 Sr 3.42

Output
Density: 5.47 g/cm3
Crystal system: cubic
Uncorrected energy: -11.1 eV per cell
Symmetry: F-43m (216)